## LiNd (PBE-GGA)

Data for a geometry-optimized LiNd structure.

Calculated values
energy relative to the lowest polymorph listed for this composition	0.0	kJ per mole of atoms
final energy	-3.1869	eV/atom

CIF file:
```
data_LiNd
_chemical_formula_sum 'Li1 Nd1'
_space_group_name_H-M_alt 'P m -3 m'
_space_group_IT_number 221
_space_group_name_Hall '-P 4 2 3'
_cell_length_a 3.777
_cell_length_b 3.777
_cell_length_c 3.777
_cell_angle_alpha 90.00
_cell_angle_beta 90.00
_cell_angle_gamma 90.00
loop_
_atom_site_label
_atom_site_type_symbol
_atom_site_fract_x
_atom_site_fract_y
_atom_site_fract_z
Li1 Li 0.000 0.000 0.000
Nd1 Nd 0.500 0.500 0.500
```



## Co17Hg (PBE-GGA)

Data for a geometry-optimized Co17Hg structure.

Calculated values
energy relative to the lowest polymorph listed for this composition	0.0	kJ per mole of atoms
energy of formation	0.16	eV per atom
final energy	-6.5654	eV/atom

CIF file:
```
data_Co17Hg
_chemical_formula_sum 'Co34 Hg2'
_space_group_name_H-M_alt 'P 1 21/m 1'
_space_group_IT_number 11
_cell_length_a 4.268
_cell_length_b 4.936
_cell_length_c 31.233
_cell_angle_alpha 90.00
_cell_angle_beta 90.07
_cell_angle_gamma 90.00
loop_
_space_group_symop_operation_xyz
'x,y,z'
'-x,-y,-z'
'-x,y+1/2,-z'
'x,-y+1/2,z'
loop_
_atom_site_label
_atom_site_type_symbol
_atom_site_fract_x
_atom_site_fract_y
_atom_site_fract_z
Co1 Co 0.000 0.000 0.000
Co2 Co 0.001 0.002 0.195
Co3 Co 0.163 0.750 0.257
Co4 Co 0.165 0.250 0.870
Co5 Co 0.166 0.750 0.065
Co6 Co 0.167 0.250 0.064
Co7 Co 0.168 0.750 0.871
Co8 Co 0.333 0.000 0.935
Co9 Co 0.333 0.002 0.743
Co10 Co 0.334 0.000 0.129
Co11 Co 0.497 0.750 0.194
Co12 Co 0.499 0.750 0.806
Co13 Co 0.500 0.250 0.000
Hg1 Hg 0.167 0.250 0.292
```



## TaSiGe (PBE-GGA)

Data for a geometry-optimized TaSiGe structure.

Calculated values
energy relative to the lowest polymorph listed for this composition	0.0	kJ per mole of atoms
final energy	-6.8406	eV/atom

CIF file:
```
data_TaSiGe
_chemical_formula_sum 'Ta4 Si4 Ge4'
_space_group_name_H-M_alt 'F -4 3 m'
_space_group_IT_number 216
_space_group_name_Hall 'F -4 2 3'
_cell_length_a 6.168
_cell_length_b 6.168
_cell_length_c 6.168
_cell_angle_alpha 90.00
_cell_angle_beta 90.00
_cell_angle_gamma 90.00
loop_
_atom_site_label
_atom_site_type_symbol
_atom_site_fract_x
_atom_site_fract_y
_atom_site_fract_z
Ta1 Ta 0.000 0.000 0.000
Si1 Si 0.250 0.250 0.250
Ge1 Ge 0.250 0.250 0.750
```



## DyEr2TlCd3Ga2 (PBE-GGA)

Data for a geometry-optimized DyEr2TlCd3Ga2 structure.

Calculated values
final energy	-3.1914	eV/atom

CIF file:
```
data_DyEr2TlCd3Ga2
_chemical_formula_sum 'Dy2 Er4 Tl2 Cd6 Ga4'
_space_group_name_H-M_alt 'A m m 2'
_space_group_IT_number 38
_cell_length_a 4.502
_cell_length_b 12.671
_cell_length_c 7.300
_cell_angle_alpha 90.00
_cell_angle_beta 90.00
_cell_angle_gamma 90.00
loop_
_space_group_symop_operation_xyz
'x,y,z'
'-x,-y,z'
'-x,y,z'
'x,-y,z'
'x,y+1/2,z+1/2'
'-x,-y+1/2,z+1/2'
'-x,y+1/2,z+1/2'
'x,-y+1/2,z+1/2'
loop_
_atom_site_label
_atom_site_type_symbol
_atom_site_fract_x
_atom_site_fract_y
_atom_site_fract_z
Dy1 Dy 0.000 0.000 0.000
Er1 Er 0.000 0.217 0.349
Tl1 Tl 0.000 0.000 0.565
Cd1 Cd 0.500 0.000 0.305
Cd2 Cd 0.500 0.130 0.697
Ga1 Ga 0.500 0.167 0.066
```



## HfZr2Si2Ni4Ge2 (PBE-GGA)

Data for a geometry-optimized HfZr2Si2Ni4Ge2 structure.

Calculated values
energy relative to the lowest polymorph listed for this composition	0.0	kJ per mole of atoms
final energy	-7.1133	eV/atom

CIF file:
```
data_HfZr2Si2Ni4Ge2
_chemical_formula_sum 'Hf2 Zr4 Si4 Ni8 Ge4'
_space_group_name_H-M_alt 'I m m m'
_space_group_IT_number 71
_space_group_name_Hall '-I 2 2'
_cell_length_a 3.894
_cell_length_b 6.457
_cell_length_c 12.890
_cell_angle_alpha 90.00
_cell_angle_beta 90.00
_cell_angle_gamma 90.00
loop_
_atom_site_label
_atom_site_type_symbol
_atom_site_fract_x
_atom_site_fract_y
_atom_site_fract_z
Hf1 Hf 0.000 0.000 0.000
Zr1 Zr 0.000 0.500 0.128
Si1 Si 0.000 0.000 0.213
Ni1 Ni 0.000 0.302 0.320
Ge1 Ge 0.000 0.202 0.500
```



## Zn (PBE-GGA)

Data for a geometry-optimized Zn structure.

Calculated values
energy relative to the lowest polymorph listed for this composition	31.3	kJ per mole of atoms
energy of formation	0.32	eV per atom
final energy	-0.9408	eV/atom

CIF file:
```
data_Zn
_chemical_formula_sum 'Zn8'
_space_group_name_H-M_alt 'C m c m'
_space_group_IT_number 63
_space_group_name_Hall '-C 2c 2'
_cell_length_a 4.323
_cell_length_b 7.461
_cell_length_c 4.756
_cell_angle_alpha 90.00
_cell_angle_beta 90.00
_cell_angle_gamma 90.00
loop_
_atom_site_label
_atom_site_type_symbol
_atom_site_fract_x
_atom_site_fract_y
_atom_site_fract_z
Zn1 Zn 0.000 0.000 0.250
Zn2 Zn 0.000 0.334 0.250
```



## DyHo2O3 (PBE-GGA)

Data for a geometry-optimized DyHo2O3 structure.

Calculated values
final energy	-7.5591	eV/atom

CIF file:
```
data_DyHo2O3
_chemical_formula_sum 'Dy1 Ho2 O3'
_space_group_name_H-M_alt 'P -3 m 1'
_space_group_IT_number 164
_space_group_name_Hall '-P 3 2"'
_cell_length_a 3.3773
_cell_length_b 3.3773
_cell_length_c 8.2735
_cell_angle_alpha 90.00
_cell_angle_beta 90.00
_cell_angle_gamma 120.00
loop_
_atom_site_label
_atom_site_type_symbol
_atom_site_fract_x
_atom_site_fract_y
_atom_site_fract_z
Dy1 Dy 0.0000 0.0000 0.0000
Ho1 Ho 0.3333 0.6667 0.6669
O1 O 0.0000 0.0000 0.5000
O2 O 0.3333 0.6667 0.1690
```



## ErFeSi2Pd (PBE-GGA)

Data for a geometry-optimized ErFeSi2Pd structure.

Calculated values
final energy	-6.5448	eV/atom

CIF file:
```
data_ErFeSi2Pd
_chemical_formula_sum 'Er2 Fe2 Si4 Pd2'
_space_group_name_H-M_alt 'I -4 m 2'
_space_group_IT_number 119
_space_group_name_Hall 'I -4 -2'
_cell_length_a 3.980
_cell_length_b 3.980
_cell_length_c 9.918
_cell_angle_alpha 90.00
_cell_angle_beta 90.00
_cell_angle_gamma 90.00
loop_
_atom_site_label
_atom_site_type_symbol
_atom_site_fract_x
_atom_site_fract_y
_atom_site_fract_z
Er1 Er 0.000 0.000 0.000
Fe1 Fe 0.000 0.500 0.250
Si1 Si 0.000 0.000 0.379
Pd1 Pd 0.000 0.500 0.750
```



## MgZnSiPd (PBE-GGA)

Data for a geometry-optimized MgZnSiPd structure.

Calculated values
energy relative to the lowest polymorph listed for this composition	0.0	kJ per mole of atoms
final energy	-3.5716	eV/atom

CIF file:
```
data_MgZnSiPd
_chemical_formula_sum 'Mg4 Zn4 Si4 Pd4'
_space_group_name_H-M_alt 'F -4 3 m'
_space_group_IT_number 216
_space_group_name_Hall 'F -4 2 3'
_cell_length_a 6.262
_cell_length_b 6.262
_cell_length_c 6.262
_cell_angle_alpha 90.00
_cell_angle_beta 90.00
_cell_angle_gamma 90.00
loop_
_atom_site_label
_atom_site_type_symbol
_atom_site_fract_x
_atom_site_fract_y
_atom_site_fract_z
Mg1 Mg 0.000 0.000 0.000
Zn1 Zn 0.250 0.250 0.750
Si1 Si 0.000 0.000 0.500
Pd1 Pd 0.250 0.250 0.250
```



## TmAuSO (PBE-GGA)

Data for a geometry-optimized TmAuSO structure.

Calculated values
energy relative to the lowest polymorph listed for this composition	6.4	kJ per mole of atoms
final energy	-6.1309	eV/atom

CIF file:
```
data_TmAuSO
_chemical_formula_sum 'Tm4 Au4 S4 O4'
_space_group_name_H-M_alt 'P c c a'
_space_group_IT_number 54
_cell_length_a 5.511
_cell_length_b 9.069
_cell_length_c 5.538
_cell_angle_alpha 90.00
_cell_angle_beta 90.00
_cell_angle_gamma 90.00
loop_
_space_group_symop_operation_xyz
'x,y,z'
'-x,-y,-z'
'-x+1/2,-y,z'
'x+1/2,y,-z'
'x+1/2,-y,-z+1/2'
'-x+1/2,y,z+1/2'
'-x,y,-z+1/2'
'x,-y,z+1/2'
loop_
_atom_site_label
_atom_site_type_symbol
_atom_site_fract_x
_atom_site_fract_y
_atom_site_fract_z
Tm1 Tm 0.000 0.118 0.250
Au1 Au 0.250 0.500 0.231
S1 S 0.000 0.280 0.750
O1 O 0.250 0.000 0.001
```



## Be2CoPt (PBE-GGA)

Data for a geometry-optimized Be2CoPt structure.

Calculated values
energy relative to the lowest polymorph listed for this composition	5.7	kJ per mole of atoms
final energy	-5.6996	eV/atom

CIF file:
```
data_Be2CoPt
_chemical_formula_sum 'Be8 Co4 Pt4'
_space_group_name_H-M_alt 'P n m a'
_space_group_IT_number 62
_cell_length_a 5.509
_cell_length_b 5.434
_cell_length_c 5.432
_cell_angle_alpha 90.00
_cell_angle_beta 90.00
_cell_angle_gamma 90.00
loop_
_space_group_symop_operation_xyz
'x,y,z'
'-x,-y,-z'
'-x+1/2,-y,z+1/2'
'x+1/2,y,-z+1/2'
'x+1/2,-y+1/2,-z+1/2'
'-x+1/2,y+1/2,z+1/2'
'-x,y+1/2,-z'
'x,-y+1/2,z'
loop_
_atom_site_label
_atom_site_type_symbol
_atom_site_fract_x
_atom_site_fract_y
_atom_site_fract_z
Be1 Be 0.249 0.000 0.000
Co1 Co 0.000 0.250 0.250
Pt1 Pt 0.000 0.250 0.749
```



## Dy3ErCo8 (PBE-GGA)

Data for a geometry-optimized Dy3ErCo8 structure.

Calculated values
energy of formation	-0.21	eV per atom
final energy	-6.4791	eV/atom

CIF file:
```
data_Dy3ErCo8
_chemical_formula_sum 'Dy9 Er3 Co24'
_space_group_name_H-M_alt 'R 3 m'
_space_group_IT_number 160
_space_group_name_Hall 'R 3 -2"'
_cell_length_a 5.0363
_cell_length_b 5.0363
_cell_length_c 24.6870
_cell_angle_alpha 90.00
_cell_angle_beta 90.00
_cell_angle_gamma 120.00
loop_
_atom_site_label
_atom_site_type_symbol
_atom_site_fract_x
_atom_site_fract_y
_atom_site_fract_z
Dy1 Dy 0.0000 0.0000 0.0000
Dy2 Dy 0.0000 0.0000 0.1251
Dy3 Dy 0.0000 0.0000 0.5001
Er1 Er 0.0000 0.0000 0.6250
Co1 Co 0.0000 0.0000 0.3125
Co2 Co 0.0000 0.0000 0.8126
Co3 Co 0.0005 0.5003 0.5629
Co4 Co 0.1671 0.3342 0.3956
```